LaCoRuO6 after structural relaxation, computed with PBE with a Hubbard U.

Cell: 5.1002 5.1002 5.1945 Å, 90.00 90.00 60.00°
Sites, in units of the cell vectors:
O1 0.3735 0.6360 0.2959
O2 0.6360 0.9905 0.2959
O3 0.6359 0.3736 0.7041
O4 0.9905 0.3735 0.2959
O5 0.9904 0.6360 0.7041
O6 0.3735 0.9905 0.7040
La1 0.0000 0.0000 0.0000
Ru1 0.3333 0.3333 0.5000
Co1 0.6666 0.6667 0.5000

## Properties
The volume is 117.0 Å³/cell. As for the total energy: -63.2 eV per formula unit.